Below is a relaxed Mg5Pb crystal, with properties calculated at the PBEsol level.

The space group is R32 (No. 155, hexagonal axes) and the conventional cell measures 5.5398, 5.5398 and 15.8038 Å, with angles of 90.00, 90.00 and 120.00 degrees. The distinct sites, in fractional coordinates, are Mg at (0.0000, 0.0000, 0.1680), Mg at (0.0000, 0.6697, 0.0000) and Pb at (0.0000, 0.0000, 0.5000).

The value obtained for the formation energy from the elements is -3 kJ per mole of atoms. The offset from the most stable computed form is 0.018 eV per atom. The electronic total energy comes out at -2.131 eV per atom.